[1]
9
Lattice="4.110 0.000 -0.170 0.000 6.007 0.000 -1.832 -3.003 6.326" Properties=species:S:1:pos:R:3 comment="Mg2SiPd6 | Alexandria via LeMat-Bulk | PBE | relaxed" total_magnetization_mub_per_fu=0.0 raw_formation_energy_ev_per_atom=-0.42 vol_a3_per_atom=17.14 dos_ef_per_ev_cell=2.164 pbc="T T T"
Pd 2.198 -1.582 4.170
Pd 2.198 1.582 4.170
Pd 2.055 4.623 -0.085
Pd 0.080 4.585 1.986
Pd 2.055 1.383 -0.085
Mg 0.139 0.000 4.177
Si 0.000 0.000 0.000
Mg 2.139 3.003 1.978
Pd 0.080 1.422 1.986

[2]
8
Lattice="-1.763 1.277 2.636 -2.019 -2.759 -0.014 5.772 -4.255 5.921" Properties=species:S:1:pos:R:3 comment="DyFeNiC | Alexandria via LeMat-Bulk | PBE | relaxed" total_energy_ev_per_atom=-7.191 total_magnetization_mub_per_fu=0.0 vol_a3_per_atom=13.59 dos_ef_per_ev_cell=6.373 pbc="T T T"
Dy 3.345 -3.533 5.057
Ni 0.931 -3.877 3.610
C 2.359 -4.941 7.297
Fe -1.827 0.268 1.974
Ni 1.059 -1.859 4.934
Dy -1.355 -2.203 3.487
C -0.369 -0.795 1.247
Fe -1.955 -1.750 0.649

[3]
4
Lattice="-0.478 4.942 -1.033 -4.035 2.566 1.690 0.541 3.428 3.699" Properties=species:S:1:pos:R:3 comment="EuGdRhAu | Alexandria via LeMat-Bulk | PBE | relaxed" total_energy_ev_per_atom=-9.413 total_magnetization_mub_per_fu=14.1 vol_a3_per_atom=23.06 dos_ef_per_ev_cell=9.086 pbc="T T T"
Rh -1.986 5.468 2.178
Au 0.000 0.000 0.000
Gd -0.993 2.734 1.089
Eu -2.979 8.202 3.266

[4]
16
Lattice="-0.949 2.678 -4.890 4.765 -2.185 -2.123 -3.987 -6.165 -2.603" Properties=species:S:1:pos:R:3 comment="TiCdPd14 | Alexandria via LeMat-Bulk | PBE | relaxed" total_energy_ev_per_atom=-5.317 total_magnetization_mub_per_fu=0.0 vol_a3_per_atom=15.57 dos_ef_per_ev_cell=25.361 pbc="T T T"
Pd -3.008 -3.179 -5.281
Pd -0.089 -5.664 -3.868
Pd -1.037 -1.558 -6.376
Ti 1.345 -2.651 -7.437
Pd 1.820 -3.990 -4.992
Pd 1.431 0.185 -2.630
Cd -0.563 -2.897 -3.931
Pd 1.883 -2.615 -2.581
Pd -0.574 -4.296 -6.365
Pd 3.338 0.432 -6.136
Pd -2.523 -4.548 -2.784
Pd 0.956 1.524 -5.074
Pd -0.551 -1.499 -1.497
Pd 1.398 -1.247 -5.078
Pd 3.813 -0.908 -3.691
Pd -1.036 -0.131 -3.994

[5]
3
Lattice="-2.894 -0.717 -2.391 -0.978 -3.816 2.329 -1.957 3.965 1.179" Properties=species:S:1:pos:R:3 comment="CePCl | Alexandria via LeMat-Bulk | PBE | relaxed" de_polymorph_mev_per_atom=505 total_magnetization_mub_per_fu=0.2 raw_formation_energy_ev_per_atom=-1.05 vol_a3_per_atom=23.11 dos_ef_per_ev_cell=2.482 pbc="T T T"
Cl -2.217 1.226 1.078
P -3.268 -1.709 0.323
Ce -0.345 -0.085 -0.285

[6]
6
Lattice="0.000 5.549 5.549 5.549 0.000 5.549 5.549 5.549 0.000" Properties=species:S:1:pos:R:3 comment="Ba4LiBr | Alexandria via LeMat-Bulk | PBE | relaxed" total_magnetization_mub_per_fu=0.0 raw_formation_energy_ev_per_atom=0.11 vol_a3_per_atom=56.94 dos_ef_per_ev_cell=9.053 pbc="T T T"
Ba 4.162 6.935 6.935
Ba 6.935 4.162 6.935
Ba 4.162 4.162 4.162
Br 8.323 8.323 8.323
Ba 6.935 6.935 4.162
Li 0.000 0.000 0.000